# MnOF

Crystalline MnOF at its relaxed geometry (PBE with a Hubbard U, Alexandria via LeMat-Bulk).

Summary:
Volume   269 Å³/cell
Final energy   -6.70 eV/atom
Total moment   4.0 μB/f.u.

Structure (POSCAR):
```
MnOF
1.0
4.5753 0.0048 0.0010
-0.0165 7.6648 0.0031
-0.0375 -0.6487 7.6757
O Mn F
8 8 8
Direct
0.7313 0.7435 0.3553 O
0.2714 0.9257 0.5284 O
0.7163 0.2323 0.8549 O
0.7276 0.6012 0.9879 O
0.2287 0.6481 0.7564 O
0.2028 0.0036 0.9012 O
0.2255 0.1421 0.2560 O
0.2515 0.5097 0.3915 O
0.5199 0.5589 0.2096 Mn
0.0358 0.7041 0.5369 Mn
0.9977 0.1854 0.0387 Mn
0.0454 0.2985 0.4319 Mn
0.4893 0.9502 0.3160 Mn
0.4857 0.0526 0.7186 Mn
0.5172 0.4631 0.8082 Mn
0.9985 0.7856 0.9398 Mn
0.7606 0.3292 0.2144 F
0.2713 0.2879 0.6678 F
0.7554 0.8384 0.7209 F
0.7903 0.4738 0.5773 F
0.7459 0.1212 0.4971 F
0.2392 0.7677 0.1590 F
0.2605 0.4143 0.0343 F
0.7323 0.9629 0.0977 F
```